(1)
Ca2YPaAs4 | PBE | optimized geometry

Computed properties:
V, Å³/cell: 207.91
ΔE_f, meV/atom: -1289
DOS(E_F), states/eV/cell: 0.00

Unit cell a=7.208 b=4.211 c=7.259 alpha=90.00 beta=109.31 gamma=90.00
Space group P2/m (No. 10)
Unique sites:
Ca 0.000 0.000 0.000
Ca 0.500 0.500 0.000
Y 0.000 0.500 0.500
Pa 0.500 0.000 0.500
As 0.253 0.000 0.733
As 0.263 0.500 0.269

---

(2)
Ca3Zr2PaAs6 | PBE | optimized geometry

Computed properties:
V, Å³/cell: 578.22
ΔE_f, meV/atom: -1187
DOS(E_F), states/eV/cell: 8.40

Unit cell a=6.992 b=12.108 c=7.218 alpha=90.00 beta=108.87 gamma=90.00
Space group C2/m (No. 12)
Unique sites:
Ca 0.000 0.000 0.000
Ca 0.000 0.334 0.000
Zr 0.000 0.167 0.500
Pa 0.000 0.500 0.500
As 0.238 0.000 0.728
As 0.246 0.331 0.729

---

(3)
Ca2ZrPaAs4 | PBE | optimized geometry

Computed properties:
V, Å³/cell: 195.86
ΔE_f, meV/atom: -1175
DOS(E_F), states/eV/cell: 4.00

Unit cell a=7.020 b=4.089 c=7.213 alpha=90.00 beta=108.92 gamma=90.00
Space group P2/m (No. 10)
Unique sites:
Ca 0.000 0.000 0.000
Ca 0.500 0.500 0.000
Zr 0.000 0.500 0.500
Pa 0.500 0.000 0.500
As 0.239 0.000 0.729
As 0.250 0.500 0.268

---

(4)
CaAsPb2 | PBE | optimized geometry

Computed properties:
V, Å³/cell: 112.11
ΔE_f, meV/atom: -167
DOS(E_F), states/eV/cell: 2.35

Unit cell a=4.106 b=4.106 c=6.651 alpha=90.00 beta=90.00 gamma=90.00
Space group P4/mmm (No. 123)
Unique sites:
Ca 0.000 0.000 0.000
As 0.000 0.000 0.500
Pb 0.500 0.500 0.274

---

(5)
Ca6AsPb3 | PBE | optimized geometry

Computed properties:
V, Å³/cell: 613.39
ΔE_f, meV/atom: -623
DOS(E_F), states/eV/cell: 8.23

Unit cell a=9.332 b=5.299 c=12.404 alpha=90.00 beta=90.03 gamma=90.00
Space group P2/m (No. 10)
Unique sites:
Ca 0.020 0.000 0.239
Ca 0.161 0.500 0.088
Ca 0.189 0.500 0.413
Ca 0.311 0.000 0.913
Ca 0.339 0.000 0.588
Ca 0.480 0.500 0.739
As 0.000 0.000 0.000
As 0.500 0.500 0.500
Pb 0.000 0.000 0.500
Pb 0.144 0.500 0.716
Pb 0.356 0.000 0.217
Pb 0.500 0.500 0.000

---

(6)
CaAsPb2 | PBE | optimized geometry

Computed properties:
V, Å³/cell: 237.58
ΔE_f, meV/atom: -286
DOS(E_F), states/eV/cell: 4.73

Unit cell a=6.148 b=6.923 c=5.582 alpha=90.00 beta=90.00 gamma=90.00
Space group Cmmm (No. 65)
Unique sites:
Ca 0.000 0.000 0.000
As 0.000 0.500 0.000
Pb 0.000 0.285 0.500

---

(7)
Ca3AsPb | PBE | optimized geometry

Computed properties:
Relative energy among the computed polymorphs, eV/atom: 0.000
V, Å³/cell: 171.83
ΔE_f, meV/atom: -691
DOS(E_F), states/eV/cell: 6.48

Unit cell a=5.559 b=5.559 c=5.559 alpha=90.00 beta=90.00 gamma=90.00
Space group Pm-3m (No. 221)
Unique sites:
Ca 0.000 0.000 0.500
As 0.000 0.000 0.000
Pb 0.500 0.500 0.500

---

(8)
CaAs4Pb | PBE | optimized geometry

Computed properties:
V, Å³/cell: 553.21
ΔE_f, meV/atom: -91
DOS(E_F), states/eV/cell: 19.30

Unit cell a=8.209 b=8.209 c=8.209 alpha=90.00 beta=90.00 gamma=90.00
Space group F-43m (No. 216)
Unique sites:
Ca 0.000 0.000 0.000
As 0.124 0.124 0.376
Pb 0.250 0.250 0.750

---

(9)
CaAsPb | PBE | optimized geometry

Computed properties:
V, Å³/cell: 95.91
ΔE_f, meV/atom: -411
DOS(E_F), states/eV/cell: 2.50

Unit cell a=4.3841 b=4.3841 c=5.7621 alpha=90.00 beta=90.00 gamma=120.00
Space group P3m1 (No. 156)
Unique sites:
Ca 0.0000 0.0000 0.0000
As 0.3333 0.6667 0.7518
Pb 0.6667 0.3333 0.4831

---

(10)
CaAsPb2 | PBE | optimized geometry

Computed properties:
V, Å³/cell: 231.44
ΔE_f, meV/atom: -401
DOS(E_F), states/eV/cell: 2.60

Unit cell a=13.266 b=3.985 c=4.673 alpha=90.00 beta=110.45 gamma=90.00
Space group C2/m (No. 12)
Unique sites:
Ca 0.000 0.000 0.000
As 0.000 0.500 0.500
Pb 0.199 0.000 0.700

---

(11)
CaAsPb2 | PBE | optimized geometry

Computed properties:
V, Å³/cell: 370.42
ΔE_f, meV/atom: -79
DOS(E_F), states/eV/cell: 11.04

Unit cell a=4.1077 b=4.1077 c=25.3496 alpha=90.00 beta=90.00 gamma=120.00
Space group R-3m (No. 166, hexagonal axes)
Unique sites:
Ca 0.0000 0.0000 0.0000
As 0.0000 0.0000 0.5000
Pb 0.0000 0.0000 0.2359

---

(12)
CaAs3Pb | PBE | optimized geometry

Computed properties:
Relative energy among the computed polymorphs, eV/atom: 0.000
V, Å³/cell: 157.08
ΔE_f, meV/atom: 452
DOS(E_F), states/eV/cell: 6.09

Unit cell a=5.396 b=5.396 c=5.396 alpha=90.00 beta=90.00 gamma=90.00
Space group Pm-3m (No. 221)
Unique sites:
Ca 0.000 0.000 0.000
As 0.000 0.500 0.500
Pb 0.500 0.500 0.500

---

(13)
CaAsPb | PBE | optimized geometry

Computed properties:
V, Å³/cell: 86.63
ΔE_f, meV/atom: -398
DOS(E_F), states/eV/cell: 1.42

Unit cell a=4.9547 b=4.9547 c=4.0748 alpha=90.00 beta=90.00 gamma=120.00
Space group P-6m2 (No. 187)
Unique sites:
Ca 0.0000 0.0000 0.0000
As 0.3333 0.6667 0.5000
Pb 0.6667 0.3333 0.5000

---

(14)
CaAsPb2 | PBE | optimized geometry

Computed properties:
V, Å³/cell: 119.31
ΔE_f, meV/atom: -424
DOS(E_F), states/eV/cell: 1.53

Unit cell a=4.411 b=4.057 c=7.016 alpha=90.00 beta=108.14 gamma=90.00
Space group Pm (No. 6)
Unique sites:
Ca 0.000 0.000 0.000
As 0.534 0.500 0.068
Pb 0.317 0.500 0.637
Pb 0.711 0.000 0.425

---

(15)
CaAsPb4 | PBE | optimized geometry

Computed properties:
V, Å³/cell: 750.49
ΔE_f, meV/atom: 95
DOS(E_F), states/eV/cell: 20.38

Unit cell a=9.088 b=9.088 c=9.088 alpha=90.00 beta=90.00 gamma=90.00
Space group F-43m (No. 216)
Unique sites:
Ca 0.000 0.000 0.000
As 0.250 0.250 0.250
Pb 0.125 0.125 0.625

---

(16)
CaAsPb2 | PBE | optimized geometry

Computed properties:
V, Å³/cell: 461.97
ΔE_f, meV/atom: -313
DOS(E_F), states/eV/cell: 7.61

Unit cell a=6.274 b=6.383 c=11.535 alpha=90.00 beta=90.00 gamma=90.00
Space group Fmmm (No. 69)
Unique sites:
Ca 0.000 0.000 0.000
As 0.000 0.000 0.500
Pb 0.000 0.250 0.250

---

(17)
CaAsPb2 | PBE | optimized geometry

Computed properties:
V, Å³/cell: 109.14
ΔE_f, meV/atom: -332
DOS(E_F), states/eV/cell: 2.19

Unit cell a=4.557 b=4.700 c=5.096 alpha=90.00 beta=90.00 gamma=90.00
Space group Pmmm (No. 47)
Unique sites:
Ca 0.000 0.000 0.000
As 0.500 0.500 0.000
Pb 0.000 0.500 0.500
Pb 0.500 0.000 0.500

---

(18)
Ca3AsPb | PBE | optimized geometry

Computed properties:
Relative energy among the computed polymorphs, eV/atom: 0.628
V, Å³/cell: 198.05
ΔE_f, meV/atom: -63
DOS(E_F), states/eV/cell: 4.41

Unit cell a=5.829 b=5.829 c=5.829 alpha=90.00 beta=90.00 gamma=90.00
Space group Pm-3m (No. 221)
Unique sites:
Ca 0.000 0.000 0.500
As 0.500 0.500 0.500
Pb 0.000 0.000 0.000

---

(19)
CaAsPb | PBE | optimized geometry

Computed properties:
V, Å³/cell: 362.04
ΔE_f, meV/atom: -176
DOS(E_F), states/eV/cell: 11.87

Unit cell a=7.127 b=7.127 c=7.127 alpha=90.00 beta=90.00 gamma=90.00
Space group F-43m (No. 216)
Unique sites:
Ca 0.000 0.000 0.000
As 0.250 0.250 0.250
Pb 0.250 0.250 0.750

---

(20)
CaAsPb3 | PBE | optimized geometry

Computed properties:
Relative energy among the computed polymorphs, eV/atom: 0.689
V, Å³/cell: 195.94
ΔE_f, meV/atom: 859
DOS(E_F), states/eV/cell: 6.90

Unit cell a=5.808 b=5.808 c=5.808 alpha=90.00 beta=90.00 gamma=90.00
Space group Pm-3m (No. 221)
Unique sites:
Ca 0.000 0.000 0.000
As 0.500 0.500 0.500
Pb 0.000 0.000 0.500